Record 1
# MgAgRh | Alexandria | GGA-PBE | relaxed
# * formation enthalpy at 0 K: -3 kJ per mole of atoms
# * polymorph energy (0 for the lowest one): 0.180 eV per atom
data_MgAgRh
_cell_length_a 3.0867
_cell_length_b 4.7636
_cell_length_c 13.5087
_cell_angle_alpha 90.00
_cell_angle_beta 90.00
_cell_angle_gamma 90.00
_space_group_name_H-M_alt 'P 1'
_space_group_IT_number 1
_space_group_name_Hall 'P 1'
loop_
_atom_site_label
_atom_site_type_symbol
_atom_site_fract_x
_atom_site_fract_y
_atom_site_fract_z
Mg1 Mg 0.0000 0.0000 0.0000
Mg2 Mg 0.0000 0.5000 0.5000
Mg3 Mg 0.5000 0.0000 0.5000
Mg4 Mg 0.5000 0.5000 0.0000
Ag1 Ag 0.0000 0.0000 0.3253
Ag2 Ag 0.0000 0.5000 0.8253
Ag3 Ag 0.5000 0.0000 0.8253
Ag4 Ag 0.5000 0.5000 0.3253
Rh1 Rh 0.0000 0.0000 0.6508
Rh2 Rh 0.0000 0.5000 0.1508
Rh3 Rh 0.5000 0.0000 0.1508
Rh4 Rh 0.5000 0.5000 0.6508



Record 2
# CaPW2 | Alexandria | GGA-PBE | relaxed
# * formation enthalpy at 0 K: 43 kJ per mole of atoms
# * polymorph energy (0 for the lowest one): 0.349 eV per atom
data_CaPW2
_cell_length_a 3.1357
_cell_length_b 3.1357
_cell_length_c 7.6032
_cell_angle_alpha 90.00
_cell_angle_beta 90.00
_cell_angle_gamma 90.00
_space_group_name_H-M_alt 'P 1'
_space_group_IT_number 1
_space_group_name_Hall 'P 1'
loop_
_atom_site_label
_atom_site_type_symbol
_atom_site_fract_x
_atom_site_fract_y
_atom_site_fract_z
Ca1 Ca 0.0000 0.0000 0.0000
P1 P 0.0000 0.0000 0.5000
W1 W 0.5000 0.5000 0.3315
W2 W 0.5000 0.5000 0.6685